1.
The following is a PBE-GGA calculation of a geometry-optimized CaPa2N4 structure, from the Alexandria database.

abc: 6.3332 6.3332 6.3332
angles: 108.35 111.74 108.35
Closest atoms and distances in Å follow each position.
Fractional coordinates of all 14 atoms:
1 N 0.7304 0.2519 0.8554  2 Pa 2.21-2.36, 1 Ca 2.43
2 N 0.0196 0.6250 0.7715  2 Pa 2.21-2.36, 1 Ca 2.43
3 N 0.6035 0.7481 0.4785  2 Pa 2.21-2.36, 1 Ca 2.43
4 N 0.6054 0.7519 0.9804  2 Pa 2.21-2.36, 1 Ca 2.43
5 N 0.5215 0.1250 0.2696  2 Pa 2.21-2.36, 1 Ca 2.43
6 N 0.1446 0.8750 0.3965  2 Pa 2.21-2.36, 1 Ca 2.43
7 N 0.1465 0.3750 0.3946  2 Pa 2.21-2.36, 1 Ca 2.43
8 N 0.2285 0.2481 0.8535  2 Pa 2.21-2.36, 1 Ca 2.43
9 Pa 0.8750 0.1020 0.4770  4 N 2.21-2.36
10 Pa 0.3750 0.8980 0.7730  4 N 2.21-2.36
11 Pa 0.5230 0.3980 0.6250  4 N 2.21-2.36
12 Pa 0.2270 0.6020 0.1250  4 N 2.21-2.36
13 Ca 0.0000 0.0000 0.0000  4 N 2.43
14 Ca 0.7500 0.5000 0.2500  4 N 2.43

Values from the calculation:
Energy above the lowest structure with this stoichiometry: 0 meV/atom
Raw formation energy: -1.45 eV/atom

***

2.
The following is a PBE-GGA calculation of a geometry-optimized Li2TcBr structure, from the Alexandria database.

abc: 7.2994 7.2994 5.7789
angles: 50.84 50.84 90.00
Closest atoms and distances in Å follow each position.
Fractional coordinates of all 8 atoms:
1 Br 0.2500 0.7500 0.5000  4 Li 2.50, 2 Tc 2.60
2 Br 0.5000 0.5000 0.0000  4 Li 2.50, 2 Tc 2.60
3 Li 0.8750 0.8406 0.7500  2 Br 2.50, 2 Li 2.65
4 Li 0.5906 0.1250 0.2500  2 Br 2.50, 2 Li 2.65
5 Li 0.1594 0.6250 0.2500  2 Br 2.50, 2 Li 2.65
6 Li 0.3750 0.4094 0.7500  2 Br 2.50, 2 Li 2.65
7 Tc 0.0000 0.0000 0.0000  2 Br 2.60, 4 Li 2.84
8 Tc 0.7500 0.2500 0.5000  2 Br 2.60, 4 Li 2.84

Values from the calculation:
Energy above the lowest structure with this stoichiometry: 301 meV/atom
Raw formation energy: 0.38 eV/atom
Density of states at the Fermi level: 3.899 states/eV per cell

***

3.
The following is a PBE-GGA calculation of a geometry-optimized Ce2ThCo structure, from the Alexandria database.

abc: 3.6595 3.6595 9.2440
angles: 78.58 78.58 60.00
Closest atoms and distances in Å follow each position.
Fractional coordinates of all 4 atoms:
1 Th 0.4996 0.4996 0.5012  6 Ce 3.55-3.57, 6 Th 3.66
2 Ce 0.0605 0.0605 0.8186  3 Co 2.66
3 Ce 0.2730 0.2730 0.1811  3 Co 2.67
4 Co 0.6670 0.6670 0.9991  6 Ce 2.66-2.67

Values from the calculation:
Energy above the lowest structure with this stoichiometry: 179 meV/atom
Energy relative to the elements: 0.04 eV/f.u.
Density of states at the Fermi level: 8.338 states/eV per cell

***

4.
The following is a PBE-GGA calculation of a geometry-optimized Pr3MgAl structure, from the Alexandria database.

abc: 5.1217 8.5563 8.5563
angles: 119.99 90.00 90.00
Closest atoms and distances in Å follow each position.
Fractional coordinates of all 10 atoms:
1 Pr 0.2500 0.8013 0.1987  2 Mg 3.21, 2 Al 3.25, 2 Pr 3.46
2 Pr 0.7500 0.1987 0.8013  2 Mg 3.21, 2 Al 3.25, 2 Pr 3.46
3 Pr 0.2500 0.3973 0.1987  2 Mg 3.21, 2 Al 3.25, 2 Pr 3.46
4 Pr 0.2500 0.8013 0.6027  2 Mg 3.21, 2 Al 3.25, 2 Pr 3.46
5 Pr 0.7500 0.6027 0.8013  2 Mg 3.21, 2 Al 3.25, 2 Pr 3.46
6 Pr 0.7500 0.1987 0.3973  2 Mg 3.21, 2 Al 3.25, 2 Pr 3.46
7 Al 0.2500 0.3335 0.6665  6 Pr 3.25
8 Al 0.7500 0.6665 0.3335  6 Pr 3.25
9 Mg 0.0000 0.0000 0.0000  2 Mg 2.56
10 Mg 0.5000 0.0000 0.0000  2 Mg 2.56

Values from the calculation:
Energy above the lowest structure with this stoichiometry: 265 meV/atom
Energy relative to the elements: 0.49 eV/f.u.
Density of states at the Fermi level: 8.786 states/eV per cell

***

5.
The following is a PBE-GGA calculation of a geometry-optimized Pm2PuC structure, from the Alexandria database.

abc: 3.5785 3.5785 10.1812
angles: 79.88 79.88 60.00
Closest atoms and distances in Å follow each position.
Fractional coordinates of all 4 atoms:
1 Pm 0.8809 0.8809 0.3573  3 C 2.51
2 Pm 0.1191 0.1191 0.6427  3 C 2.51
3 Pu 0.0000 0.0000 0.0000  2 Pm 3.56, 6 Pu 3.58
4 C 0.5000 0.5000 0.5000  6 Pm 2.51

Values from the calculation:
Energy relative to the elements: 0.67 eV/f.u.
Density of states at the Fermi level: 13.265 states/eV per cell

***

6.
The following is a PBE-GGA calculation of a geometry-optimized BaTl2Fe structure, from the Alexandria database.

abc: 4.9027 4.1959 6.6205
angles: 71.60 90.00 90.00
Closest atoms and distances in Å follow each position.
Fractional coordinates of all 4 atoms:
1 Ba 0.0000 0.5470 0.5294  3 Tl 3.46-3.52, 4 Fe 3.76
2 Fe 0.5000 0.8944 0.8355  4 Tl 2.61-2.91
3 Tl 0.5000 0.2349 0.1558  2 Fe 2.91
4 Tl 0.0000 0.8237 0.9793  2 Fe 2.61

Values from the calculation:
Energy relative to the elements: 1.26 eV/f.u.
Density of states at the Fermi level: 4.788 states/eV per cell

***

7.
The following is a PBE-GGA calculation of a geometry-optimized RbLi3Th2Se6 structure, from the Alexandria database.

abc: 4.3122 9.9885 8.7312
angles: 97.88 104.30 90.00
Closest atoms and distances in Å follow each position.
Fractional coordinates of all 12 atoms:
1 Li 0.5000 0.5000 0.0000  2 Se 2.70
2 Li 0.8503 0.2884 0.7007  4 Se 2.54-2.73
3 Li 0.1497 0.7116 0.2993  4 Se 2.54-2.73
4 Se 0.3390 0.4529 0.6779  3 Li 2.70-2.73, 1 Th 3.02
5 Se 0.6610 0.5471 0.3221  3 Li 2.70-2.73, 1 Th 3.02
6 Se 0.0000 0.7159 0.9999  1 Li 2.54, 1 Th 2.76
7 Se 0.2976 0.8351 0.5951  1 Li 2.63, 2 Th 2.87
8 Se 0.0000 0.2841 0.0001  1 Li 2.54, 1 Th 2.76
9 Se 0.7024 0.1649 0.4049  1 Li 2.63, 2 Th 2.87
10 Th 0.8354 0.6651 0.6709  6 Se 2.76-3.03
11 Th 0.1646 0.3349 0.3291  6 Se 2.76-3.03
12 Rb 0.5000 0.0000 0.0000  6 Se 3.56-3.59

Values from the calculation:
Raw formation energy: -1.47 eV/atom
Density of states at the Fermi level: 0.000 states/eV per cell

***

8.
The following is a PBE-GGA calculation of a geometry-optimized AgSbPb2Au structure, from the Alexandria database.

abc: 5.9937 5.0627 5.9937
angles: 90.00 90.00 90.00
Closest atoms and distances in Å follow each position.
Fractional coordinates of all 5 atoms:
1 Ag 0.0000 0.5000 0.0000  2 Sb 2.53
2 Sb 0.0000 0.0000 0.0000  2 Ag 2.53
3 Pb 0.0000 0.0000 0.5000  2 Sb 3.00
4 Pb 0.5000 0.0000 0.0000  2 Sb 3.00
5 Au 0.5000 0.5000 0.5000  8 Pb 3.92, 4 Ag 4.24

Values from the calculation:
Raw formation energy: 0.62 eV/atom
Density of states at the Fermi level: 3.409 states/eV per cell

***

Electronic total energy? In order: -9.2051; -3.5863; -6.5889; -3.8381; -8.0977; -3.4646; -5.0116; -2.9155 eV/atom.